The following is a PBE calculation of a geometry-optimized PbWBr2 structure, from Alexandria via LeMat-Bulk.

Values from the calculation:
- SG: Cmmm (65)
- Magnetic moment: 1.224 μB per cell
- ΔE to the lowest computed polymorph: 178 meV per atom
- ΔE_f (raw): 442 meV per atom

a b c (Å): 3.3907 3.3907 11.7291
angles (deg): 90.00 90.00 124.03
Closest atoms and distances in Å follow each position.
Sites, in units of the cell vectors:
Pb 0.0000 0.0000 0.0000  6 Pb 3.18-3.39
W 0.0000 0.0000 0.5000  4 Br 2.59
Br 0.5000 0.5000 0.3255  2 W 2.59
Br 0.5000 0.5000 0.6745  2 W 2.59

---

The following is a PBE calculation of a geometry-optimized PbWBr2 structure, from Alexandria via LeMat-Bulk.

Values from the calculation:
- SG: Cmmm (65)
- Magnetic moment: 2.011 μB per cell
- ΔE to the lowest computed polymorph: 785 meV per atom
- ΔE_f (raw): 1049 meV per atom

a b c (Å): 5.5590 5.5590 3.2313
angles (deg): 90.00 90.00 105.96
Closest atoms and distances in Å follow each position.
Sites, in units of the cell vectors:
Pb 0.0000 0.0000 0.0000  8 Br 3.21, 2 Pb 3.23, 2 W 3.35
W 0.5000 0.5000 0.0000  8 Br 3.21, 2 W 3.23, 2 Pb 3.35
Br 0.0000 0.5000 0.5000  4 W 3.21, 4 Pb 3.21, 4 Br 3.23-3.35
Br 0.5000 0.0000 0.5000  4 Pb 3.21, 4 W 3.21, 4 Br 3.23-3.35

---

The following is a PBE calculation of a geometry-optimized PbWBr3 structure, from Alexandria via LeMat-Bulk.

Values from the calculation:
- SG: Pm-3m (221)
- Magnetic moment: 2.763 μB per cell
- ΔE to the lowest computed polymorph: 0 meV per atom
- ΔE_f (raw): 404 meV per atom

a b c (Å): 5.2251 5.2251 5.2251
angles (deg): 90.00 90.00 90.00
Closest atoms and distances in Å follow each position.
Sites, in units of the cell vectors:
Pb 0.0000 0.0000 0.0000  12 Br 3.69
W 0.5000 0.5000 0.5000  6 Br 2.61
Br 0.0000 0.5000 0.5000  2 W 2.61
Br 0.5000 0.0000 0.5000  2 W 2.61
Br 0.5000 0.5000 0.0000  2 W 2.61

---

The following is a PBE calculation of a geometry-optimized PbWBr2 structure, from Alexandria via LeMat-Bulk.

Values from the calculation:
- SG: Fm-3m (225)
- Magnetic moment: 1.761 μB per cell
- ΔE to the lowest computed polymorph: 863 meV per atom
- ΔE_f (raw): 1128 meV per atom

a b c (Å): 5.0612 5.0612 5.0612
angles (deg): 60.00 60.00 60.00
Closest atoms and distances in Å follow each position.
Sites, in units of the cell vectors:
Pb 0.0000 0.0000 0.0000  8 Br 3.10
W 0.5000 0.5000 0.5000  8 Br 3.10
Br 0.2500 0.2500 0.2500  4 Pb 3.10, 4 W 3.10
Br 0.7500 0.7500 0.7500  4 W 3.10, 4 Pb 3.10

---

The following is a PBE calculation of a geometry-optimized PbWBr4 structure, from Alexandria via LeMat-Bulk.

Values from the calculation:
- SG: F-43m (216)
- Magnetic moment: 4.243 μB per cell
- ΔE_f (raw): 1231 meV per atom

a b c (Å): 6.3119 6.3119 6.3119
angles (deg): 60.00 60.00 60.00
Closest atoms and distances in Å follow each position.
Sites, in units of the cell vectors:
Pb 0.0000 0.0000 0.0000  12 Br 3.70, 4 W 3.87
W 0.7500 0.7500 0.7500  12 Br 3.70, 4 Pb 3.87
Br 0.3755 0.3755 0.3755  6 Br 3.14-3.17
Br 0.3755 0.3755 0.8734  6 Br 3.14-3.17
Br 0.3755 0.8734 0.3755  6 Br 3.14-3.17
Br 0.8734 0.3755 0.3755  6 Br 3.14-3.17

---

The following is a PBE calculation of a geometry-optimized PbWBr2 structure, from Alexandria via LeMat-Bulk.

Values from the calculation:
- SG: Pm (6)
- Magnetic moment: 0.000 μB per cell
- ΔE to the lowest computed polymorph: 268 meV per atom
- ΔE_f (raw): 533 meV per atom

a b c (Å): 3.2200 4.8836 6.6320
angles (deg): 90.00 90.10 90.00
Closest atoms and distances in Å follow each position.
Sites, in units of the cell vectors:
Pb 0.0000 0.0000 0.0000  2 Br 3.16, 2 Pb 3.22, 4 W 3.48-3.49
W 0.5003 0.5000 0.7145  4 Br 2.58-2.61
Br 0.4997 0.0000 0.5899  2 W 2.58
Br 0.9991 0.5000 0.4052  2 W 2.61

---

The following is a PBE calculation of a geometry-optimized PbWBr2 structure, from Alexandria via LeMat-Bulk.

Values from the calculation:
- SG: Imm2 (44)
- Magnetic moment: 0.000 μB per cell
- ΔE to the lowest computed polymorph: 245 meV per atom
- ΔE_f (raw): 510 meV per atom

a b c (Å): 8.2354 8.2354 8.2354
angles (deg): 157.94 146.24 40.69
Closest atoms and distances in Å follow each position.
Sites, in units of the cell vectors:
Pb 0.0000 0.0000 0.0000  2 W 3.05, 2 Pb 3.15, 2 Br 3.24
W 0.1688 0.6688 0.5000  2 Br 2.56
Br 0.2998 0.2998 0.0000  2 W 2.56
Br 0.6412 0.1412 0.5000  4 W 2.90, 2 Br 3.15, 2 Pb 3.24

---

The following is a PBE calculation of a geometry-optimized PbWBr2 structure, from Alexandria via LeMat-Bulk.

Values from the calculation:
- SG: R3m (160)
- Magnetic moment: 0.000 μB per cell
- ΔE to the lowest computed polymorph: 122 meV per atom
- ΔE_f (raw): 386 meV per atom

a b c (Å): 9.4452 9.4452 9.4452
angles (deg): 21.37 21.37 21.37
Closest atoms and distances in Å follow each position.
Sites, in units of the cell vectors:
Pb 0.0000 0.0000 0.0000  3 Br 3.03, 3 W 3.03
W 0.2516 0.2516 0.2516  3 Br 2.57
Br 0.5278 0.5278 0.5278  3 W 2.57
Br 0.7483 0.7483 0.7483  3 Pb 3.03

---

The following is a PBE calculation of a geometry-optimized PbWBr structure, from Alexandria via LeMat-Bulk.

Values from the calculation:
- SG: P-6m2 (187)
- Magnetic moment: 0.604 μB per cell
- ΔE to the lowest computed polymorph: 469 meV per atom
- ΔE_f (raw): 988 meV per atom

a b c (Å): 4.8265 4.8265 3.1562
angles (deg): 90.00 90.00 120.00
Closest atoms and distances in Å follow each position.
Sites, in units of the cell vectors:
Pb 0.0000 0.0000 0.0000  2 Pb 3.16, 6 W 3.20, 6 Br 3.20
W 0.3333 0.6667 0.5000  3 Br 2.79
Br 0.6667 0.3333 0.5000  3 W 2.79

---

The following is a PBE calculation of a geometry-optimized PbWBr structure, from Alexandria via LeMat-Bulk.

Values from the calculation:
- SG: Fmm2 (42)
- Magnetic moment: 0.505 μB per cell
- ΔE to the lowest computed polymorph: 189 meV per atom
- ΔE_f (raw): 708 meV per atom

a b c (Å): 8.8507 8.5390 3.2300
angles (deg): 84.79 73.90 21.31
Closest atoms and distances in Å follow each position.
Sites, in units of the cell vectors:
Pb 0.0000 0.0000 0.0000  2 W 3.02, 6 Pb 3.17-3.23
W 0.6531 0.6531 0.3469  2 Br 2.56
Br 0.2733 0.2733 0.7267  2 W 2.56

---

The following is a PBE calculation of a geometry-optimized PbWBr2 structure, from Alexandria via LeMat-Bulk.

Values from the calculation:
- SG: I-42d (122)
- Magnetic moment: 0.000 μB per cell
- ΔE to the lowest computed polymorph: 272 meV per atom
- ΔE_f (raw): 537 meV per atom

a b c (Å): 6.9006 6.9006 6.9006
angles (deg): 99.62 99.62 131.74
Closest atoms and distances in Å follow each position.
Sites, in units of the cell vectors:
Pb 0.0000 0.0000 0.0000  2 W 2.82
Pb 0.7500 0.2500 0.5000  2 W 2.82
W 0.2500 0.7500 0.5000  4 Br 2.58, 2 Pb 2.82
W 0.5000 0.5000 0.0000  4 Br 2.58, 2 Pb 2.82
Br 0.2526 0.6250 0.1276  2 W 2.58
Br 0.3750 0.5026 0.6276  2 W 2.58
Br 0.4974 0.1250 0.8724  2 W 2.58
Br 0.8750 0.7474 0.3724  2 W 2.58

---

The following is a PBE calculation of a geometry-optimized PbWBr2 structure, from Alexandria via LeMat-Bulk.

Values from the calculation:
- SG: C2/m (12)
- Magnetic moment: 3.186 μB per cell
- ΔE to the lowest computed polymorph: 594 meV per atom
- ΔE_f (raw): 858 meV per atom

a b c (Å): 5.9639 5.9639 3.5131
angles (deg): 106.90 106.90 110.16
Closest atoms and distances in Å follow each position.
Sites, in units of the cell vectors:
Pb 0.0000 0.0000 0.0000  4 Br 2.99
W 0.5000 0.5000 0.0000  4 Br 2.99
Br 0.0000 0.5000 0.5000  2 W 2.99, 2 Pb 2.99
Br 0.5000 0.0000 0.5000  2 Pb 2.99, 2 W 2.99